Entry 1:
An optimized crystal structure of LaZnRe. Source: Alexandria, functional GGA-PBE.

a = 4.9328 Å, b = 4.9328 Å, c = 2.9118 Å
α = 90.00°, β = 90.00°, γ = 120.00°
Atoms (fractional coordinates):
La 0.0000 0.0000 0.9999
Re 0.3333 0.6667 0.5011
Zn 0.6667 0.3333 0.4990

ΔE to the lowest computed polymorph ... 144 meV/atom
Spin magnetization ... 0.000 μB per cell
ΔH_f (0 K) ... 43 kJ/mol of atoms
E_tot ... -5.77 eV/atom



Entry 2:
An optimized crystal structure of Dy2ThPb9. Source: Alexandria, functional GGA-PBE.

a = 4.8909 Å, b = 4.8909 Å, c = 14.6558 Å
α = 90.00°, β = 90.00°, γ = 90.00°
Atoms (fractional coordinates):
Dy 0.0000 0.0000 0.3284
Dy 0.0000 0.0000 0.6716
Th 0.0000 0.0000 0.0000
Pb 0.5000 0.5000 0.0000
Pb 0.5000 0.5000 0.3353
Pb 0.5000 0.5000 0.6647
Pb 0.5000 0.0000 0.1688
Pb 0.5000 0.0000 0.5000
Pb 0.5000 0.0000 0.8312
Pb 0.0000 0.5000 0.1688
Pb 0.0000 0.5000 0.5000
Pb 0.0000 0.5000 0.8312

Spin magnetization ... 0.000 μB per cell
ΔH_f (0 K) ... -25 kJ/mol of atoms
E_tot ... -4.42 eV/atom



Entry 3:
An optimized crystal structure of TbTm3Ru2. Source: Alexandria, functional GGA-PBE.

a = 6.6652 Å, b = 6.9292 Å, c = 8.2420 Å
α = 114.86°, β = 113.85°, γ = 90.00°
Atoms (fractional coordinates):
Tb 0.0000 0.5000 0.0000
Tb 0.0000 0.0000 0.0000
Tm 0.5000 0.2500 0.0000
Tm 0.5000 0.7500 0.0000
Tm 0.7633 0.0133 0.5267
Tm 0.2367 0.4867 0.4733
Tm 0.2367 0.9867 0.4733
Tm 0.7633 0.5133 0.5267
Ru 0.5859 0.3653 0.7306
Ru 0.8553 0.1347 0.2694
Ru 0.1447 0.8653 0.7306
Ru 0.4141 0.6347 0.2694

ΔE to the lowest computed polymorph ... 125 meV/atom
Spin magnetization ... 0.000 μB per cell
ΔH_f (0 K) ... -26 kJ/mol of atoms
E_tot ... -6.37 eV/atom



Entry 4:
An optimized crystal structure of BaCoTeI2. Source: Alexandria, functional GGA-PBE.

a = 6.6229 Å, b = 6.6229 Å, c = 6.7859 Å
α = 90.00°, β = 90.00°, γ = 90.00°
Site moments in Bohr magnetons follow the coordinates.
Atoms (fractional coordinates):
I 0.0000 0.5000 0.0000  0.05
I 0.5000 0.0000 0.0000  0.05
Te 0.0000 0.0000 0.5000  0.15
Co 0.5000 0.5000 0.5000  2.31
Ba 0.0000 0.0000 0.0000  0.00

ΔE to the lowest computed polymorph ... 998 meV/atom
Spin magnetization ... 3.085 μB per cell
Uncorrected formation energy ... 1.786 eV/f.u.
E_tot ... -2.70 eV/atom



Entry 5:
An optimized crystal structure of Li3Pm3Zn8. Source: Alexandria, functional GGA-PBE.

a = 4.5694 Å, b = 8.4893 Å, c = 8.4893 Å
α = 60.38°, β = 74.39°, γ = 74.39°
Atoms (fractional coordinates):
Li 0.5000 0.0000 0.0000
Li 0.0000 0.8131 0.1869
Li 0.0000 0.1869 0.8131
Pm 0.5000 0.5000 0.5000
Pm 0.7814 0.2186 0.2186
Pm 0.2186 0.7814 0.7814
Zn 0.6391 0.0667 0.6552
Zn 0.3609 0.9333 0.3448
Zn 0.6391 0.6552 0.0667
Zn 0.3609 0.3448 0.9333
Zn 0.8438 0.8033 0.5091
Zn 0.1562 0.1967 0.4909
Zn 0.8438 0.5091 0.8033
Zn 0.1562 0.4909 0.1967

Spin magnetization ... 0.000 μB per cell
ΔH_f (0 K) ... -27 kJ/mol of atoms
E_tot ... -2.44 eV/atom



Entry 6:
An optimized crystal structure of CrPbSe. Source: Alexandria, functional GGA-PBE.

a = 4.7176 Å, b = 4.7176 Å, c = 4.7176 Å
α = 60.00°, β = 60.00°, γ = 60.00°
Site moments in Bohr magnetons follow the coordinates.
Atoms (fractional coordinates):
Cr 0.7500 0.7500 0.7500  3.71
Pb 0.0000 0.0000 0.0000  0.01
Se 0.5000 0.5000 0.5000  0.02

ΔE to the lowest computed polymorph ... 259 meV/atom
Spin magnetization ... 4.172 μB per cell
Uncorrected formation energy ... 0.653 eV/f.u.
E_tot ... -5.39 eV/atom



Entry 7:
An optimized crystal structure of Ba2InAg. Source: Alexandria, functional GGA-PBE.

a = 4.3622 Å, b = 5.7475 Å, c = 12.3472 Å
α = 90.00°, β = 79.78°, γ = 90.00°
Atoms (fractional coordinates):
Ba 0.9410 0.7500 0.6178
Ba 0.0590 0.2500 0.3822
Ba 0.1905 0.7500 0.1208
Ba 0.8095 0.2500 0.8792
In 0.4312 0.2500 0.6371
In 0.5688 0.7500 0.3628
Ag 0.6675 0.2499 0.1671
Ag 0.3324 0.7500 0.8329

Spin magnetization ... 0.000 μB per cell
ΔH_f (0 K) ... -29 kJ/mol of atoms
E_tot ... -2.66 eV/atom



Entry 8:
An optimized crystal structure of Zn2IrOs. Source: Alexandria, functional GGA-PBE.

a = 4.2923 Å, b = 4.2923 Å, c = 4.2923 Å
α = 60.00°, β = 60.00°, γ = 60.00°
Site moments in Bohr magnetons follow the coordinates.
Atoms (fractional coordinates):
Zn 0.2500 0.2500 0.2500  0.01
Zn 0.7500 0.7500 0.7500  0.01
Ir 0.5000 0.5000 0.5000  0.14
Os 0.0000 0.0000 0.0000  0.25

ΔE to the lowest computed polymorph ... 216 meV/atom
Spin magnetization ... 0.411 μB per cell
ΔH_f (0 K) ... 22 kJ/mol of atoms
E_tot ... -5.43 eV/atom



Entry 9:
An optimized crystal structure of NdY2Ag6. Source: Alexandria, functional GGA-PBE.

a = 5.3556 Å, b = 9.4002 Å, c = 9.4002 Å
α = 120.41°, β = 89.98°, γ = 89.98°
Atoms (fractional coordinates):
Nd 0.2500 0.2498 0.7502
Nd 0.7500 0.7502 0.2498
Y 0.4998 0.6654 0.8342
Y 0.0002 0.1658 0.3346
Y 0.5002 0.3346 0.1658
Y 0.9998 0.8342 0.6654
Ag 0.4950 0.6648 0.5012
Ag 0.0050 0.4988 0.3352
Ag 0.5050 0.3352 0.4988
Ag 0.9950 0.5012 0.6648
Ag 0.2486 0.9122 0.4121
Ag 0.2514 0.5879 0.0878
Ag 0.7514 0.0878 0.5879
Ag 0.7486 0.4121 0.9122
Ag 0.0048 0.8355 0.9985
Ag 0.4952 0.0015 0.1645
Ag 0.9952 0.1645 0.0015
Ag 0.5048 0.9985 0.8355

Spin magnetization ... 0.000 μB per cell
ΔH_f (0 K) ... -22 kJ/mol of atoms
E_tot ... -4.09 eV/atom



Entry 10:
An optimized crystal structure of ZrIr2RuF. Source: Alexandria, functional GGA-PBE.

a = 4.3756 Å, b = 4.1019 Å, c = 4.3756 Å
α = 90.00°, β = 90.00°, γ = 90.00°
Atoms (fractional coordinates):
Ru 0.0000 0.5000 0.0000
Ir 0.0000 0.0000 0.5000
Ir 0.5000 0.0000 0.0000
Zr 0.5000 0.5000 0.5000
F 0.0000 0.0000 0.0000

Spin magnetization ... 0.000 μB per cell
Uncorrected formation energy ... 2.144 eV/f.u.
E_tot ... -7.05 eV/atom



Entry 11:
An optimized crystal structure of ScCuW2. Source: Alexandria, functional GGA-PBE.

a = 4.5058 Å, b = 4.5058 Å, c = 4.5058 Å
α = 60.00°, β = 60.00°, γ = 60.00°
Atoms (fractional coordinates):
Cu 0.5000 0.5000 0.5000
Sc 0.7500 0.7500 0.7500
W 0.0000 0.0000 0.0000
W 0.2500 0.2500 0.2500

ΔE to the lowest computed polymorph ... 45 meV/atom
Spin magnetization ... 0.000 μB per cell
ΔH_f (0 K) ... 20 kJ/mol of atoms
E_tot ... -8.88 eV/atom



Entry 12:
An optimized crystal structure of Th2ScAl9. Source: Alexandria, functional GGA-PBE.

a = 5.6081 Å, b = 5.6081 Å, c = 9.4337 Å
α = 72.71°, β = 72.71°, γ = 60.00°
Atoms (fractional coordinates):
Th 0.8571 0.8571 0.4288
Th 0.1429 0.1429 0.5712
Sc 0.0000 0.0000 0.0000
Al 0.6653 0.6653 0.0042
Al 0.3347 0.3347 0.9958
Al 0.5000 0.5000 0.5000
Al 0.4146 0.4146 0.2466
Al 0.9241 0.4146 0.2466
Al 0.4146 0.9241 0.2466
Al 0.5854 0.5854 0.7534
Al 0.5854 0.0759 0.7534
Al 0.0759 0.5854 0.7534

Spin magnetization ... 0.000 μB per cell
ΔH_f (0 K) ... -24 kJ/mol of atoms
E_tot ... -4.82 eV/atom



Entry 13:
An optimized crystal structure of YPuCdRh. Source: Alexandria, functional GGA-PBE.

a = 5.0813 Å, b = 5.0813 Å, c = 5.0813 Å
α = 60.00°, β = 60.00°, γ = 60.00°
Site moments in Bohr magnetons follow the coordinates.
Atoms (fractional coordinates):
Y 0.7500 0.7500 0.7500  0.07
Cd 0.0000 0.0000 0.0000  0.01
Rh 0.5000 0.5000 0.5000  -0.23
Pu 0.2500 0.2500 0.2500  5.28

Spin magnetization ... 5.465 μB per cell
ΔH_f (0 K) ... -27 kJ/mol of atoms
E_tot ... -7.54 eV/atom



Entry 14:
An optimized crystal structure of Ac3PrOs. Source: Alexandria, functional GGA-PBE.

a = 7.9287 Å, b = 7.9287 Å, c = 7.9435 Å
α = 110.54°, β = 112.02°, γ = 105.83°
Atoms (fractional coordinates):
Ac 0.8373 0.0455 0.2885
Ac 0.2430 0.4512 0.2885
Ac 0.7570 0.5488 0.7115
Ac 0.7054 0.4530 0.1584
Ac 0.1627 0.9545 0.7115
Ac 0.2946 0.5470 0.8416
Pr 0.6972 0.0427 0.7398
Pr 0.3028 0.9573 0.2602
Os 0.5940 0.7515 0.3455
Os 0.4060 0.2485 0.6545

ΔE to the lowest computed polymorph ... 0 meV/atom
Spin magnetization ... 0.000 μB per cell
ΔH_f (0 K) ... -5 kJ/mol of atoms
E_tot ... -5.72 eV/atom



Entry 15:
An optimized crystal structure of CaHgBr. Source: Alexandria, functional GGA-PBE.

a = 12.1468 Å, b = 4.2717 Å, c = 7.6006 Å
α = 90.00°, β = 90.42°, γ = 90.00°
Atoms (fractional coordinates):
Ca 0.9279 0.0000 0.5942
Ca 0.9279 0.5000 0.0942
Ca 0.4702 0.0000 0.2616
Ca 0.4702 0.5000 0.7616
Hg 0.7593 0.0000 0.9212
Hg 0.7593 0.5000 0.4212
Hg 0.6371 0.0000 0.5925
Hg 0.6371 0.5000 0.0925
Br 0.0526 0.0000 0.2655
Br 0.0526 0.5000 0.7655
Br 0.3400 0.0000 0.5900
Br 0.3400 0.5000 0.0900

ΔE to the lowest computed polymorph ... 24 meV/atom
Spin magnetization ... 0.000 μB per cell
Uncorrected formation energy ... -3.328 eV/f.u.
E_tot ... -2.43 eV/atom



Entry 16:
An optimized crystal structure of Be4Os5. Source: Alexandria, functional GGA-PBE.

a = 6.9817 Å, b = 6.9817 Å, c = 6.9817 Å
α = 92.32°, β = 92.32°, γ = 156.79°
Atoms (fractional coordinates):
Be 0.2599 0.0000 0.2599
Be 0.7401 0.0000 0.7401
Be 0.0000 0.7401 0.7401
Be 0.0000 0.2599 0.2599
Os 0.0000 0.0000 0.0000
Os 0.3294 0.6706 0.0000
Os 0.6706 0.3294 0.0000
Os 0.6706 0.6706 0.3412
Os 0.3294 0.3294 0.6588

ΔE to the lowest computed polymorph ... 318 meV/atom
Spin magnetization ... 0.000 μB per cell
ΔH_f (0 K) ... 37 kJ/mol of atoms
E_tot ... -7.51 eV/atom



Entry 17:
An optimized crystal structure of Tb7Sm3Er. Source: Alexandria, functional GGA-PBE.

a = 8.4388 Å, b = 8.4388 Å, c = 5.8526 Å
α = 69.75°, β = 69.75°, γ = 83.35°
Site moments in Bohr magnetons follow the coordinates.
Atoms (fractional coordinates):
Tb 0.7929 0.7929 0.2070  0.01
Tb 0.4023 0.0000 0.2989  0.00
Tb 0.0000 0.5977 0.7011  0.00
Tb 0.0000 0.4023 0.2989  0.00
Tb 0.5000 0.5000 0.0000  0.12
Tb 0.5977 0.0000 0.7011  0.00
Tb 0.2071 0.2071 0.7930  0.01
Sm 0.7893 0.2107 0.0000  0.00
Sm 0.0000 0.0000 0.5000  0.00
Sm 0.2107 0.7893 0.0000  0.00
Er 0.5000 0.5000 0.5000  0.13

ΔE to the lowest computed polymorph ... 88 meV/atom
Spin magnetization ... 0.299 μB per cell
ΔH_f (0 K) ... 26 kJ/mol of atoms
E_tot ... -4.38 eV/atom



Entry 18:
An optimized crystal structure of ZnSn3P. Source: Alexandria, functional GGA-PBE.

a = 5.2872 Å, b = 5.2872 Å, c = 5.2872 Å
α = 90.00°, β = 90.00°, γ = 90.00°
Atoms (fractional coordinates):
P 0.0000 0.0000 0.0000
Zn 0.5000 0.5000 0.5000
Sn 0.0000 0.5000 0.0000
Sn 0.0000 0.0000 0.5000
Sn 0.5000 0.0000 0.0000

ΔE to the lowest computed polymorph ... 0 meV/atom
Spin magnetization ... 0.000 μB per cell
ΔH_f (0 K) ... 52 kJ/mol of atoms
E_tot ... -3.20 eV/atom



Entry 19:
An optimized crystal structure of MnGa. Source: Alexandria, functional GGA-PBE.

a = 6.9496 Å, b = 6.9496 Å, c = 6.9496 Å
α = 90.00°, β = 90.00°, γ = 90.00°
Site moments in Bohr magnetons follow the coordinates.
Atoms (fractional coordinates):
Mn 0.2500 0.0000 0.5000  3.45
Mn 0.7500 0.0000 0.5000  3.45
Mn 0.0000 0.5000 0.2500  3.45
Mn 0.0000 0.5000 0.7500  3.45
Mn 0.5000 0.2500 0.0000  3.45
Mn 0.5000 0.7500 0.0000  3.45
Ga 0.2500 0.5000 0.0000  -0.16
Ga 0.7500 0.5000 0.0000  -0.16
Ga 0.5000 0.0000 0.2500  -0.16
Ga 0.5000 0.0000 0.7500  -0.16
Ga 0.0000 0.2500 0.5000  -0.16
Ga 0.0000 0.7500 0.5000  -0.16

Spin magnetization ... 20.007 μB per cell
ΔH_f (0 K) ... 96 kJ/mol of atoms
E_tot ... -5.11 eV/atom



Entry 20:
An optimized crystal structure of CaPr3Nd2Se6. Source: Alexandria, functional GGA-PBE.

a = 7.3441 Å, b = 7.3441 Å, c = 7.3556 Å
α = 99.52°, β = 99.52°, γ = 120.09°
Atoms (fractional coordinates):
Ca 0.0000 0.0000 0.0000
Pr 0.1682 0.8318 0.5000
Pr 0.8318 0.1682 0.5000
Pr 0.5000 0.5000 0.5000
Nd 0.3331 0.6669 0.0000
Nd 0.6669 0.3331 0.0000
Se 0.9188 0.5916 0.7561
Se 0.7542 0.7542 0.2434
Se 0.0812 0.4084 0.2439
Se 0.5916 0.9188 0.7561
Se 0.2458 0.2458 0.7566
Se 0.4084 0.0812 0.2439

Spin magnetization ... 0.000 μB per cell
Uncorrected formation energy ... -22.360 eV/f.u.
E_tot ... -5.76 eV/atom



Entry 21:
An optimized crystal structure of KPd3Pb5. Source: Alexandria, functional GGA-PBE.

a = 3.8054 Å, b = 6.2388 Å, c = 20.7895 Å
α = 90.00°, β = 90.00°, γ = 107.76°
Atoms (fractional coordinates):
K 0.8532 0.7064 0.7500
K 0.1468 0.2936 0.2500
Pd 0.3258 0.6516 0.0305
Pd 0.8720 0.7440 0.2500
Pd 0.3258 0.6516 0.4695
Pd 0.6742 0.3484 0.5305
Pd 0.1280 0.2560 0.7500
Pd 0.6742 0.3484 0.9695
Pb 0.7091 0.4183 0.3923
Pb 0.2909 0.5817 0.8923
Pb 0.0000 0.0000 0.5000
Pb 0.0000 0.0000 0.0000
Pb 0.4350 0.8700 0.1552
Pb 0.5650 0.1300 0.8448
Pb 0.5650 0.1300 0.6552
Pb 0.7091 0.4183 0.1077
Pb 0.2909 0.5817 0.6077
Pb 0.4350 0.8700 0.3448

Spin magnetization ... 0.000 μB per cell
ΔH_f (0 K) ... -18 kJ/mol of atoms
E_tot ... -4.10 eV/atom



Entry 22:
An optimized crystal structure of SbMoH3. Source: Alexandria, functional GGA-PBE.

a = 3.6997 Å, b = 3.6997 Å, c = 3.6997 Å
α = 90.00°, β = 90.00°, γ = 90.00°
Atoms (fractional coordinates):
Sb 0.5000 0.5000 0.5000
Mo 0.0000 0.0000 0.0000
H 0.0000 0.5000 0.0000
H 0.0000 0.0000 0.5000
H 0.5000 0.0000 0.0000

ΔE to the lowest computed polymorph ... 0 meV/atom
Spin magnetization ... 0.000 μB per cell
E_tot ... -4.57 eV/atom



Entry 23:
An optimized crystal structure of CrN2. Source: Alexandria, functional GGA-PBE.

a = 7.6353 Å, b = 7.6267 Å, c = 7.6372 Å
α = 136.44°, β = 102.70°, γ = 93.23°
Atoms (fractional coordinates):
Cr 0.7582 0.9122 0.8495
Cr 0.2410 0.0886 0.1519
Cr 0.4368 0.5884 0.8474
Cr 0.5626 0.4125 0.1543
N 0.6916 0.6925 0.4982
N 0.3074 0.8029 0.9957
N 0.3070 0.3029 0.4956
N 0.6937 0.1920 0.0009
N 0.6366 0.7492 0.8849
N 0.3642 0.2504 0.1139
N 0.0008 0.9989 0.9989
N 0.5000 0.4987 0.9979

Spin magnetization ... 0.000 μB per cell
Uncorrected formation energy ... 0.351 eV/f.u.
E_tot ... -8.64 eV/atom